Computed, not measured: a relaxed structure of KRb12Tl6 at the PBE level of DFT.

Values from the calculation:
D(E_F) = 37.7 states/eV/cell
formation energy = 0.00 eV/atom

```
data_KRb12Tl6
_cell_length_a 16.6358
_cell_length_b 16.6358
_cell_length_c 14.6239
_cell_angle_alpha 90.00
_cell_angle_beta 90.00
_cell_angle_gamma 120.00
_symmetry_space_group_name_H-M 'R -3'
_symmetry_Int_Tables_number 148
_symmetry_space_group_name_Hall '-R 3'
loop_
_atom_site_label
_atom_site_fract_x
_atom_site_fract_y
_atom_site_fract_z
_atom_site_occupancy
K1 0.0000 0.0000 0.0000 1
Rb1 0.0126 0.2863 0.9799 1
Rb2 0.0841 0.9021 0.2686 1
Tl1 0.0952 0.8935 0.5363 1
```


Computed, not measured: a relaxed structure of KRb3Tl at the PBE level of DFT.

Values from the calculation:
D(E_F) = 15.4 states/eV/cell
energy relative to the lowest polymorph listed for this composition = 0.6 kJ per mole of atoms
formation energy = -0.01 eV/atom

```
data_KRb3Tl
_cell_length_a 5.0283
_cell_length_b 29.4703
_cell_length_c 9.7722
_cell_angle_alpha 90.00
_cell_angle_beta 90.00
_cell_angle_gamma 90.00
_symmetry_space_group_name_H-M 'A m a 2'
_symmetry_Int_Tables_number 40
loop_
_symmetry_equiv_pos_as_xyz
'x,y,z'
'-x,-y,z'
'-x+1/2,y,z'
'x+1/2,-y,z'
'x,y+1/2,z+1/2'
'-x,-y+1/2,z+1/2'
'-x+1/2,y+1/2,z+1/2'
'x+1/2,-y+1/2,z+1/2'
loop_
_atom_site_label
_atom_site_fract_x
_atom_site_fract_y
_atom_site_fract_z
_atom_site_occupancy
K1 0.2500 0.0648 0.0000 1
Rb1 0.2500 0.0678 0.5406 1
Rb2 0.2500 0.3055 0.2712 1
Rb3 0.2500 0.3337 0.7596 1
Tl1 0.2500 0.4681 0.7618 1
```


Computed, not measured: a relaxed structure of KRb2Tl2 at the PBE level of DFT.

Values from the calculation:
D(E_F) = 10.5 states/eV/cell
energy relative to the lowest polymorph listed for this composition = 9.9 kJ per mole of atoms
formation energy = 0.07 eV/atom

```
data_KRb2Tl2
_cell_length_a 11.0242
_cell_length_b 11.0242
_cell_length_c 4.0716
_cell_angle_alpha 90.00
_cell_angle_beta 90.00
_cell_angle_gamma 90.00
_symmetry_space_group_name_H-M 'P 4/m b m'
_symmetry_Int_Tables_number 127
_symmetry_space_group_name_Hall '-P 4 2ab'
loop_
_atom_site_label
_atom_site_fract_x
_atom_site_fract_y
_atom_site_fract_z
_atom_site_occupancy
K1 0.0000 0.0000 0.0000 1
Rb1 0.1363 0.3637 0.0000 1
Tl1 0.1608 0.6608 0.5000 1
```


Computed, not measured: a relaxed structure of K5Rb2Tl2 at the PBE level of DFT.

Values from the calculation:
D(E_F) = 31.0 states/eV/cell
formation energy = -0.02 eV/atom

```
data_K5Rb2Tl2
_cell_length_a 24.4019
_cell_length_b 9.5794
_cell_length_c 9.6122
_cell_angle_alpha 90.00
_cell_angle_beta 90.00
_cell_angle_gamma 90.00
_symmetry_space_group_name_H-M 'C m c e'
_symmetry_Int_Tables_number 64
_symmetry_space_group_name_Hall '-C 2ac 2'
loop_
_atom_site_label
_atom_site_fract_x
_atom_site_fract_y
_atom_site_fract_z
_atom_site_occupancy
K1 0.0000 0.0000 0.0000 1
K2 0.1008 0.1794 0.3211 1
Rb1 0.2329 0.0000 0.0000 1
Tl1 0.0000 0.1107 0.6129 1
```


Computed, not measured: a relaxed structure of K4Rb3Tl at the PBE level of DFT.

Values from the calculation:
D(E_F) = 14.2 states/eV/cell
formation energy = 0.05 eV/atom

```
data_K4Rb3Tl
_cell_length_a 35.7643
_cell_length_b 4.3912
_cell_length_c 7.4025
_cell_angle_alpha 90.00
_cell_angle_beta 101.92
_cell_angle_gamma 90.00
_symmetry_space_group_name_H-M 'C 1 2/m 1'
_symmetry_Int_Tables_number 12
loop_
_symmetry_equiv_pos_as_xyz
'x,y,z'
'-x,-y,-z'
'-x,y,-z'
'x,-y,z'
'x+1/2,y+1/2,z'
'-x+1/2,-y+1/2,-z'
'-x+1/2,y+1/2,-z'
'x+1/2,-y+1/2,z'
loop_
_atom_site_label
_atom_site_fract_x
_atom_site_fract_y
_atom_site_fract_z
_atom_site_occupancy
K1 0.0833 0.0000 0.0836 1
K2 0.2234 0.0000 0.2237 1
Rb1 0.0000 0.0000 0.5000 1
Rb2 0.1500 0.0000 0.6503 1
Tl1 0.0000 0.5000 0.0000 1
```


Computed, not measured: a relaxed structure of K4Rb4Tl at the PBE level of DFT.

Values from the calculation:
D(E_F) = 10.6 states/eV/cell
formation energy = 0.00 eV/atom

```
data_K4Rb4Tl
_cell_length_a 12.1692
_cell_length_b 12.1692
_cell_length_c 8.8571
_cell_angle_alpha 90.00
_cell_angle_beta 90.00
_cell_angle_gamma 90.00
_symmetry_space_group_name_H-M 'P 42/n'
_symmetry_Int_Tables_number 86
loop_
_symmetry_equiv_pos_as_xyz
'x,y,z'
'-x,-y,-z'
'-y,x+1/2,z+1/2'
'y,-x+1/2,-z+1/2'
'-x+1/2,-y+1/2,z'
'x+1/2,y+1/2,-z'
'y+1/2,-x,z+1/2'
'-y+1/2,x,-z+1/2'
loop_
_atom_site_label
_atom_site_fract_x
_atom_site_fract_y
_atom_site_fract_z
_atom_site_occupancy
K1 0.0701 0.3221 0.0790 1
Rb1 0.0485 0.6843 0.3878 1
Tl1 0.2500 0.2500 0.7500 1
```


Computed, not measured: a relaxed structure of K5Rb4Tl2 at the PBE level of DFT.

Values from the calculation:
D(E_F) = 8.1 states/eV/cell
formation energy = 0.00 eV/atom

```
data_K5Rb4Tl2
_cell_length_a 10.7997
_cell_length_b 5.1453
_cell_length_c 13.1936
_cell_angle_alpha 90.00
_cell_angle_beta 95.06
_cell_angle_gamma 90.00
_symmetry_space_group_name_H-M 'P 1 2/m 1'
_symmetry_Int_Tables_number 10
loop_
_symmetry_equiv_pos_as_xyz
'x,y,z'
'-x,-y,-z'
'-x,y,-z'
'x,-y,z'
loop_
_atom_site_label
_atom_site_fract_x
_atom_site_fract_y
_atom_site_fract_z
_atom_site_occupancy
K1 0.0000 0.0000 0.0000 1
K2 0.0634 0.0000 0.3369 1
K3 0.3444 0.0000 0.8478 1
Rb1 0.2982 0.5000 0.5639 1
Rb2 0.3248 0.5000 0.1718 1
Tl1 0.4335 0.0000 0.3845 1
```


Computed, not measured: a relaxed structure of K3RbTl at the PBE level of DFT.

Values from the calculation:
D(E_F) = 3.8 states/eV/cell
energy relative to the lowest polymorph listed for this composition = 5.5 kJ per mole of atoms
formation energy = 0.03 eV/atom

```
data_K3RbTl
_cell_length_a 6.9905
_cell_length_b 6.9905
_cell_length_c 6.9905
_cell_angle_alpha 90.00
_cell_angle_beta 90.00
_cell_angle_gamma 90.00
_symmetry_space_group_name_H-M 'P m -3 m'
_symmetry_Int_Tables_number 221
_symmetry_space_group_name_Hall '-P 4 2 3'
loop_
_atom_site_label
_atom_site_fract_x
_atom_site_fract_y
_atom_site_fract_z
_atom_site_occupancy
K1 0.0000 0.0000 0.5000 1
Rb1 0.5000 0.5000 0.5000 1
Tl1 0.0000 0.0000 0.0000 1
```


Computed, not measured: a relaxed structure of KRb2Tl9 at the PBE level of DFT.

Values from the calculation:
D(E_F) = 20.4 states/eV/cell
formation energy = -0.06 eV/atom

```
data_KRb2Tl9
_cell_length_a 6.7744
_cell_length_b 6.7744
_cell_length_c 32.6665
_cell_angle_alpha 90.00
_cell_angle_beta 90.00
_cell_angle_gamma 120.00
_symmetry_space_group_name_H-M 'R -3 m'
_symmetry_Int_Tables_number 166
_symmetry_space_group_name_Hall '-R 3 2"'
loop_
_atom_site_label
_atom_site_fract_x
_atom_site_fract_y
_atom_site_fract_z
_atom_site_occupancy
K1 0.0000 0.0000 0.0000 1
Rb1 0.0000 0.0000 0.1423 1
Tl1 0.0000 0.0000 0.3346 1
Tl2 0.0000 0.0000 0.5000 1
Tl3 0.0036 0.5018 0.9174 1
```


Computed, not measured: a relaxed structure of K9Rb6Tl at the PBE level of DFT.

Values from the calculation:
D(E_F) = 28.7 states/eV/cell
formation energy = 0.02 eV/atom

```
data_K9Rb6Tl
_cell_length_a 10.8183
_cell_length_b 10.8183
_cell_length_c 20.6559
_cell_angle_alpha 90.00
_cell_angle_beta 90.00
_cell_angle_gamma 90.00
_symmetry_space_group_name_H-M 'I 4/m'
_symmetry_Int_Tables_number 87
_symmetry_space_group_name_Hall '-I 4'
loop_
_atom_site_label
_atom_site_fract_x
_atom_site_fract_y
_atom_site_fract_z
_atom_site_occupancy
K1 0.0000 0.0000 0.0000 1
K2 0.1069 0.3043 0.1676 1
Rb1 0.0000 0.0000 0.3220 1
Rb2 0.1163 0.3152 0.5000 1
Tl1 0.0000 0.0000 0.5000 1
```


Computed, not measured: a relaxed structure of K3Rb2Tl at the PBE level of DFT.

Values from the calculation:
D(E_F) = 8.4 states/eV/cell
formation energy = 0.00 eV/atom

```
data_K3Rb2Tl
_cell_length_a 7.5213
_cell_length_b 9.4053
_cell_length_c 12.3841
_cell_angle_alpha 87.51
_cell_angle_beta 84.25
_cell_angle_gamma 67.08
_symmetry_space_group_name_H-M 'P -1'
_symmetry_Int_Tables_number 2
loop_
_symmetry_equiv_pos_as_xyz
'x,y,z'
'-x,-y,-z'
loop_
_atom_site_label
_atom_site_fract_x
_atom_site_fract_y
_atom_site_fract_z
_atom_site_occupancy
K1 0.0064 0.4877 0.3179 1
K2 0.1894 0.9139 0.3431 1
K3 0.3871 0.8626 0.7368 1
Rb1 0.1538 0.1855 0.9993 1
Rb2 0.5000 0.5000 0.0000 1
Rb3 0.5000 0.5000 0.5000 1
Tl1 0.3244 0.1564 0.5234 1
```


Computed, not measured: a relaxed structure of K2Rb4Tl at the PBE level of DFT.

Values from the calculation:
D(E_F) = 10.7 states/eV/cell
energy relative to the lowest polymorph listed for this composition = 0.0 kJ per mole of atoms
formation energy = 0.02 eV/atom

```
data_K2Rb4Tl
_cell_length_a 16.6090
_cell_length_b 7.1005
_cell_length_c 9.4343
_cell_angle_alpha 90.00
_cell_angle_beta 113.86
_cell_angle_gamma 90.00
_symmetry_space_group_name_H-M 'C 1 2/m 1'
_symmetry_Int_Tables_number 12
loop_
_symmetry_equiv_pos_as_xyz
'x,y,z'
'-x,-y,-z'
'-x,y,-z'
'x,-y,z'
'x+1/2,y+1/2,z'
'-x+1/2,-y+1/2,-z'
'-x+1/2,y+1/2,-z'
'x+1/2,-y+1/2,z'
loop_
_atom_site_label
_atom_site_fract_x
_atom_site_fract_y
_atom_site_fract_z
_atom_site_occupancy
K1 0.2023 0.0000 0.3340 1
Rb1 0.0146 0.5000 0.2356 1
Rb2 0.1653 0.0000 0.8053 1
Tl1 0.0000 0.0000 0.0000 1
```


Computed, not measured: a relaxed structure of K12RbTl5 at the PBE level of DFT.

Values from the calculation:
D(E_F) = 27.6 states/eV/cell
formation energy = -0.02 eV/atom

```
data_K12RbTl5
_cell_length_a 11.3581
_cell_length_b 12.3266
_cell_length_c 13.8814
_cell_angle_alpha 90.00
_cell_angle_beta 90.00
_cell_angle_gamma 90.00
_symmetry_space_group_name_H-M 'I m m m'
_symmetry_Int_Tables_number 71
_symmetry_space_group_name_Hall '-I 2 2'
loop_
_atom_site_label
_atom_site_fract_x
_atom_site_fract_y
_atom_site_fract_z
_atom_site_occupancy
K1 0.0000 0.1904 0.1879 1
K2 0.1803 0.2328 0.5000 1
K3 0.1989 0.5000 0.2730 1
Rb1 0.0000 0.5000 0.0000 1
Tl1 0.0000 0.0000 0.3908 1
Tl2 0.0000 0.5000 0.5000 1
Tl3 0.1340 0.0000 0.0000 1
```


Computed, not measured: a relaxed structure of K3Rb4Tl2 at the PBE level of DFT.

Values from the calculation:
D(E_F) = 11.1 states/eV/cell
formation energy = -0.01 eV/atom

```
data_K3Rb4Tl2
_cell_length_a 20.8849
_cell_length_b 5.7507
_cell_length_c 10.0775
_cell_angle_alpha 90.00
_cell_angle_beta 107.23
_cell_angle_gamma 90.00
_symmetry_space_group_name_H-M 'C 1 2/m 1'
_symmetry_Int_Tables_number 12
loop_
_symmetry_equiv_pos_as_xyz
'x,y,z'
'-x,-y,-z'
'-x,y,-z'
'x,-y,z'
'x+1/2,y+1/2,z'
'-x+1/2,-y+1/2,-z'
'-x+1/2,y+1/2,-z'
'x+1/2,-y+1/2,z'
loop_
_atom_site_label
_atom_site_fract_x
_atom_site_fract_y
_atom_site_fract_z
_atom_site_occupancy
K1 0.0000 0.0000 0.0000 1
K2 0.1018 0.0000 0.6985 1
Rb1 0.0839 0.5000 0.3332 1
Rb2 0.2257 0.0000 0.1600 1
Tl1 0.1016 0.5000 0.9451 1
```


Computed, not measured: a relaxed structure of K4Rb5Tl at the PBE level of DFT.

Values from the calculation:
D(E_F) = 17.6 states/eV/cell
formation energy = 0.03 eV/atom

```
data_K4Rb5Tl
_cell_length_a 23.5667
_cell_length_b 4.6927
_cell_length_c 13.8867
_cell_angle_alpha 90.00
_cell_angle_beta 97.72
_cell_angle_gamma 90.00
_symmetry_space_group_name_H-M 'C 1 2/m 1'
_symmetry_Int_Tables_number 12
loop_
_symmetry_equiv_pos_as_xyz
'x,y,z'
'-x,-y,-z'
'-x,y,-z'
'x,-y,z'
'x+1/2,y+1/2,z'
'-x+1/2,-y+1/2,-z'
'-x+1/2,y+1/2,-z'
'x+1/2,-y+1/2,z'
loop_
_atom_site_label
_atom_site_fract_x
_atom_site_fract_y
_atom_site_fract_z
_atom_site_occupancy
K1 0.0087 0.0000 0.1942 1
K2 0.1550 0.5000 0.0484 1
Rb1 0.0000 0.5000 0.5000 1
Rb2 0.1669 0.0000 0.7421 1
Rb3 0.1741 0.0000 0.3871 1
Tl1 0.0000 0.5000 0.0000 1
```


Computed, not measured: a relaxed structure of K11Rb17Tl at the PBE level of DFT.

Values from the calculation:
D(E_F) = 47.2 states/eV/cell
formation energy = 0.01 eV/atom

```
data_K11Rb17Tl
_cell_length_a 16.7944
_cell_length_b 23.8813
_cell_length_c 14.0633
_cell_angle_alpha 90.00
_cell_angle_beta 124.36
_cell_angle_gamma 90.00
_symmetry_space_group_name_H-M 'C 1 m 1'
_symmetry_Int_Tables_number 8
loop_
_symmetry_equiv_pos_as_xyz
'x,y,z'
'x,-y,z'
'x+1/2,y+1/2,z'
'x+1/2,-y+1/2,z'
loop_
_atom_site_label
_atom_site_fract_x
_atom_site_fract_y
_atom_site_fract_z
_atom_site_occupancy
K1 0.0000 0.0000 0.0000 1
K2 0.0652 0.0860 0.3624 1
K3 0.0962 0.3098 0.8643 1
K4 0.2098 0.4089 0.7031 1
K5 0.2928 0.3173 0.2448 1
K6 0.4919 0.0916 0.0443 1
Rb1 0.0847 0.2999 0.3747 1
Rb2 0.1587 0.0000 0.7489 1
Rb3 0.2322 0.1209 0.0760 1
Rb4 0.2461 0.5000 0.0370 1
Rb5 0.2469 0.1931 0.7174 1
Rb6 0.2820 0.5000 0.4056 1
Rb7 0.3492 0.1529 0.4552 1
Rb8 0.4040 0.0000 0.6669 1
Rb9 0.4398 0.3444 0.6510 1
Rb10 0.4525 0.3035 0.0372 1
Rb11 0.4746 0.0000 0.3507 1
Tl1 0.2261 0.0000 0.3038 1
```


Computed, not measured: a relaxed structure of K2Rb3Tl at the PBE level of DFT.

Values from the calculation:
D(E_F) = 8.9 states/eV/cell
formation energy = 0.01 eV/atom

```
data_K2Rb3Tl
_cell_length_a 7.7996
_cell_length_b 9.3648
_cell_length_c 12.7943
_cell_angle_alpha 89.93
_cell_angle_beta 89.87
_cell_angle_gamma 65.63
_symmetry_space_group_name_H-M 'P -1'
_symmetry_Int_Tables_number 2
loop_
_symmetry_equiv_pos_as_xyz
'x,y,z'
'-x,-y,-z'
loop_
_atom_site_label
_atom_site_fract_x
_atom_site_fract_y
_atom_site_fract_z
_atom_site_occupancy
K1 0.0000 0.0000 0.0000 1
K2 0.0000 0.0000 0.5000 1
K3 0.3510 0.3019 0.0001 1
Rb1 0.1822 0.6251 0.2810 1
Rb2 0.1853 0.6262 0.7208 1
Rb3 0.4995 0.0004 0.3146 1
Tl1 0.4963 0.6639 0.4995 1
```


Computed, not measured: a relaxed structure of KRb2Tl2 at the PBE level of DFT.

Values from the calculation:
D(E_F) = 8.0 states/eV/cell
energy relative to the lowest polymorph listed for this composition = 1.0 kJ per mole of atoms
formation energy = -0.02 eV/atom

```
data_KRb2Tl2
_cell_length_a 14.2250
_cell_length_b 5.0462
_cell_length_c 7.5945
_cell_angle_alpha 90.00
_cell_angle_beta 100.50
_cell_angle_gamma 90.00
_symmetry_space_group_name_H-M 'C 1 2/m 1'
_symmetry_Int_Tables_number 12
loop_
_symmetry_equiv_pos_as_xyz
'x,y,z'
'-x,-y,-z'
'-x,y,-z'
'x,-y,z'
'x+1/2,y+1/2,z'
'-x+1/2,-y+1/2,-z'
'-x+1/2,y+1/2,-z'
'x+1/2,-y+1/2,z'
loop_
_atom_site_label
_atom_site_fract_x
_atom_site_fract_y
_atom_site_fract_z
_atom_site_occupancy
K1 0.0000 0.0000 0.0000 1
Rb1 0.1449 0.5000 0.5759 1
Tl1 0.2177 0.5000 0.0936 1
```


Computed, not measured: a relaxed structure of K2RbTl8 at the PBE level of DFT.

Values from the calculation:
D(E_F) = 12.1 states/eV/cell
formation energy = -0.05 eV/atom

```
data_K2RbTl8
_cell_length_a 8.2735
_cell_length_b 18.4476
_cell_length_c 6.4229
_cell_angle_alpha 90.00
_cell_angle_beta 126.03
_cell_angle_gamma 90.00
_symmetry_space_group_name_H-M 'C 1 2/m 1'
_symmetry_Int_Tables_number 12
loop_
_symmetry_equiv_pos_as_xyz
'x,y,z'
'-x,-y,-z'
'-x,y,-z'
'x,-y,z'
'x+1/2,y+1/2,z'
'-x+1/2,-y+1/2,-z'
'-x+1/2,y+1/2,-z'
'x+1/2,-y+1/2,z'
loop_
_atom_site_label
_atom_site_fract_x
_atom_site_fract_y
_atom_site_fract_z
_atom_site_occupancy
K1 0.0000 0.1764 0.0000 1
Rb1 0.0000 0.5000 0.5000 1
Tl1 0.0000 0.2802 0.5000 1
Tl2 0.0550 0.0000 0.7830 1
Tl3 0.2207 0.3671 0.2752 1
```


Computed, not measured: a relaxed structure of K2Rb2Tl at the PBE level of DFT.

Values from the calculation:
D(E_F) = 10.4 states/eV/cell
energy relative to the lowest polymorph listed for this composition = 22.6 kJ per mole of atoms
formation energy = 0.22 eV/atom

```
data_K2Rb2Tl
_cell_length_a 5.6534
_cell_length_b 5.6534
_cell_length_c 21.9671
_cell_angle_alpha 90.00
_cell_angle_beta 90.00
_cell_angle_gamma 90.00
_symmetry_space_group_name_H-M 'I 4/m m m'
_symmetry_Int_Tables_number 139
_symmetry_space_group_name_Hall '-I 4 2'
loop_
_atom_site_label
_atom_site_fract_x
_atom_site_fract_y
_atom_site_fract_z
_atom_site_occupancy
K1 0.0000 0.0000 0.0833 1
Rb1 0.0000 0.5000 0.2500 1
Tl1 0.0000 0.0000 0.5000 1
```